--- a ---
DFT (SCAN) results for a crystal of ZrSeCl2 relaxed with PBEsol.

Properties
M_tot (μB/atom): 0.000
Crystal system: orthorhombic

Unit cell a=3.3614 b=4.5953 c=4.8189 alpha=90.00 beta=90.00 gamma=90.00
Fractional coordinates of all 4 atoms:
Zr 0.0000 0.0000 0.0000
Se 0.5000 0.0000 0.5000
Cl 0.0000 0.5000 0.5000
Cl 0.5000 0.5000 0.0000

---

--- b ---
DFT (SCAN) results for a crystal of ZrSeCl2 relaxed with PBEsol.

Properties
M_tot (μB/atom): 0.000
Crystal system: cubic

Unit cell a=4.7220 b=4.7220 c=4.7220 alpha=60.00 beta=60.00 gamma=60.00
Fractional coordinates of all 4 atoms:
Zr 0.0000 0.0000 0.0000
Se 0.2500 0.2500 0.2500
Cl 0.5000 0.5000 0.5000
Cl 0.7500 0.7500 0.7500

---

Least stable of them? a.

---

--- a ---
DFT (SCAN) results for a crystal of TaSi2Cl relaxed with PBEsol.

Properties
M_tot (μB/atom): 0.000
Crystal system: orthorhombic

Unit cell a=4.5217 b=5.0854 c=5.0854 alpha=32.96 beta=90.00 gamma=90.00
Fractional coordinates of all 4 atoms:
Ta 0.0000 0.0000 0.0000
Si 0.0000 0.7408 0.7408
Si 0.5000 0.4233 0.4233
Cl 0.5000 0.1851 0.1851

---

--- b ---
DFT (SCAN) results for a crystal of TaSi2Cl relaxed with PBEsol.

Properties
M_tot (μB/atom): 0.000
Crystal system: orthorhombic

Unit cell a=5.1929 b=5.1929 c=5.1929 alpha=142.84 beta=132.61 gamma=61.71
Fractional coordinates of all 4 atoms:
Ta 0.0000 0.0000 0.0000
Si 0.2387 0.7387 0.5000
Si 0.7613 0.2613 0.5000
Cl 0.5000 0.5000 0.0000

---

Least stable of them? b.

---

--- a ---
DFT (SCAN) results for a crystal of SiTcCl2 relaxed with PBEsol.

Properties
M_tot (μB/atom): 0.000
Crystal system: tetragonal

Unit cell a=3.0469 b=3.0469 c=8.5455 alpha=90.00 beta=90.00 gamma=90.00
Fractional coordinates of all 4 atoms:
Si 0.0000 0.0000 0.0000
Tc 0.5000 0.5000 0.1411
Cl 0.0000 0.0000 0.7609
Cl 0.5000 0.5000 0.3994

---

--- b ---
DFT (SCAN) results for a crystal of SiTcCl2 relaxed with PBEsol.

Properties
M_tot (μB/atom): 0.000
Crystal system: tetragonal

Unit cell a=4.6734 b=4.6734 c=4.6734 alpha=128.35 beta=128.35 gamma=76.06
Fractional coordinates of all 4 atoms:
Si 0.0000 0.0000 0.0000
Tc 0.7500 0.2500 0.5000
Cl 0.2500 0.7500 0.5000
Cl 0.5000 0.5000 0.0000

---

--- c ---
DFT (SCAN) results for a crystal of SiTcCl2 relaxed with PBEsol.

Properties
M_tot (μB/atom): 0.000
Crystal system: trigonal

Unit cell a=9.1681 b=9.1681 c=9.1681 alpha=18.77 beta=18.77 gamma=18.77
Fractional coordinates of all 4 atoms:
Si 0.0000 0.0000 0.0000
Tc 0.5000 0.5000 0.5000
Cl 0.2303 0.2303 0.2303
Cl 0.7697 0.7697 0.7697

---

Least stable of them? b.

---

--- a ---
DFT (SCAN) results for a crystal of Si2TcCl relaxed with PBEsol.

Properties
M_tot (μB/atom): 0.000
Crystal system: tetragonal

Unit cell a=6.6946 b=6.6946 c=6.6946 alpha=129.13 beta=129.13 gamma=74.80
Fractional coordinates of all 8 atoms:
Si 0.0741 0.6250 0.9491
Si 0.3750 0.3241 0.4491
Si 0.6759 0.1250 0.0509
Si 0.8750 0.9259 0.5509
Tc 0.0000 0.0000 0.0000
Tc 0.7500 0.2500 0.5000
Cl 0.2500 0.7500 0.5000
Cl 0.5000 0.5000 0.0000

---

--- b ---
DFT (SCAN) results for a crystal of Si2TcCl relaxed with PBEsol.

Properties
M_tot (μB/atom): 0.000
Crystal system: orthorhombic

Unit cell a=4.5145 b=4.5145 c=2.9072 alpha=90.00 beta=90.00 gamma=107.99
Fractional coordinates of all 4 atoms:
Si 0.0000 0.5000 0.0000
Si 0.5000 0.0000 0.0000
Tc 0.0000 0.0000 0.5000
Cl 0.5000 0.5000 0.5000

---

Least stable of them? b.

---

--- a ---
DFT (SCAN) results for a crystal of SiTcCl relaxed with PBEsol.

Properties
M_tot (μB/atom): 0.000
Crystal system: trigonal

Unit cell a=3.0893 b=3.0893 c=5.5371 alpha=90.00 beta=90.00 gamma=120.00
Fractional coordinates of all 3 atoms:
Si 0.0000 0.0000 0.0000
Tc 0.3333 0.6667 0.7250
Cl 0.6667 0.3333 0.3675

---

--- b ---
DFT (SCAN) results for a crystal of SiTcCl relaxed with PBEsol.

Properties
M_tot (μB/atom): 0.474
Crystal system: tetragonal

Unit cell a=6.1159 b=6.1159 c=6.1159 alpha=151.45 beta=151.45 gamma=40.82
Fractional coordinates of all 3 atoms:
Si 0.0000 0.0000 0.0000
Tc 0.6002 0.6002 0.0000
Cl 0.8101 0.8101 0.0000

---

Least stable of them? a.

---

--- a ---
DFT (SCAN) results for a crystal of TlSiCl2 relaxed with PBEsol.

Properties
M_tot (μB/atom): 0.000
Crystal system: tetragonal

Unit cell a=5.0102 b=5.0102 c=5.0102 alpha=119.91 beta=119.91 gamma=90.15
Fractional coordinates of all 4 atoms:
Tl 0.0000 0.0000 0.0000
Si 0.5000 0.5000 0.0000
Cl 0.2500 0.7500 0.5000
Cl 0.7500 0.2500 0.5000

---

--- b ---
DFT (SCAN) results for a crystal of TlSiCl2 relaxed with PBEsol.

Properties
M_tot (μB/atom): 0.000
Crystal system: orthorhombic

Unit cell a=5.6823 b=5.6823 c=5.6823 alpha=142.56 beta=121.11 gamma=71.90
Fractional coordinates of all 4 atoms:
Tl 0.0000 0.0000 0.0000
Si 0.5000 0.5000 0.0000
Cl 0.3076 0.8076 0.5000
Cl 0.6924 0.1924 0.5000

---

Least stable of them? a.

---

--- a ---
DFT (SCAN) results for a crystal of SiWCl2 relaxed with PBEsol.

Properties
M_tot (μB/atom): 0.000
Crystal system: tetragonal

Unit cell a=4.6950 b=4.6950 c=4.6950 alpha=127.94 beta=127.94 gamma=76.72
Fractional coordinates of all 4 atoms:
Si 0.0000 0.0000 0.0000
W 0.7500 0.2500 0.5000
Cl 0.2500 0.7500 0.5000
Cl 0.5000 0.5000 0.0000

---

--- b ---
DFT (SCAN) results for a crystal of SiWCl2 relaxed with PBEsol.

Properties
M_tot (μB/atom): 0.000
Crystal system: orthorhombic

Unit cell a=3.1774 b=3.1774 c=9.0239 alpha=90.00 beta=90.00 gamma=125.77
Fractional coordinates of all 4 atoms:
Si 0.0000 0.0000 0.0000
W 0.5000 0.5000 0.2249
Cl 0.0000 0.0000 0.4359
Cl 0.5000 0.5000 0.7950

---

Least stable of them? a.

---

--- a ---
DFT (SCAN) results for a crystal of SiW2Cl relaxed with PBEsol.

Properties
M_tot (μB/atom): 0.000
Crystal system: monoclinic

Unit cell a=3.2080 b=4.1139 c=5.4105 alpha=90.00 beta=93.40 gamma=90.00
Fractional coordinates of all 4 atoms:
Si 0.0000 0.0000 0.0000
W 0.2985 0.5000 0.1792
W 0.7015 0.5000 0.8208
Cl 0.5000 0.0000 0.5000

---

--- b ---
DFT (SCAN) results for a crystal of SiW2Cl relaxed with PBEsol.

Properties
M_tot (μB/atom): 0.000
Crystal system: tetragonal

Unit cell a=3.1443 b=3.1443 c=6.5842 alpha=90.00 beta=90.00 gamma=90.00
Fractional coordinates of all 4 atoms:
Si 0.0000 0.0000 0.0000
W 0.5000 0.5000 0.1852
W 0.5000 0.5000 0.8148
Cl 0.0000 0.0000 0.5000

---

Least stable of them? a.

---

--- a ---
DFT (SCAN) results for a crystal of ZrSiCl2 relaxed with PBEsol.

Properties
M_tot (μB/atom): 0.000
Crystal system: orthorhombic

Unit cell a=5.9513 b=5.9513 c=5.9513 alpha=149.55 beta=134.44 gamma=55.79
Fractional coordinates of all 4 atoms:
Zr 0.0000 0.0000 0.0000
Si 0.7728 0.2728 0.5000
Cl 0.1916 0.6916 0.5000
Cl 0.4665 0.4665 0.0000

---

--- b ---
DFT (SCAN) results for a crystal of ZrSiCl2 relaxed with PBEsol.

Properties
M_tot (μB/atom): 0.000
Crystal system: orthorhombic

Unit cell a=5.0593 b=5.0593 c=3.0443 alpha=90.00 beta=90.00 gamma=109.60
Fractional coordinates of all 4 atoms:
Zr 0.0000 0.0000 0.0000
Si 0.5000 0.5000 0.0000
Cl 0.0000 0.5000 0.5000
Cl 0.5000 0.0000 0.5000

---

--- c ---
DFT (SCAN) results for a crystal of ZrSiCl2 relaxed with PBEsol.

Properties
M_tot (μB/atom): 0.000
Crystal system: tetragonal

Unit cell a=4.0992 b=4.0992 c=4.3943 alpha=90.00 beta=90.00 gamma=90.00
Fractional coordinates of all 4 atoms:
Zr 0.0000 0.0000 0.0000
Si 0.5000 0.5000 0.0000
Cl 0.0000 0.5000 0.5000
Cl 0.5000 0.0000 0.5000

---

Least stable of them? b.

---

--- a ---
DFT (SCAN) results for a crystal of Zr2SiCl relaxed with PBEsol.

Properties
M_tot (μB/atom): 0.000
Crystal system: cubic

Unit cell a=4.6405 b=4.6405 c=4.6405 alpha=60.00 beta=60.00 gamma=60.00
Fractional coordinates of all 4 atoms:
Zr 0.2500 0.2500 0.2500
Zr 0.7500 0.7500 0.7500
Si 0.0000 0.0000 0.0000
Cl 0.5000 0.5000 0.5000

---

--- b ---
DFT (SCAN) results for a crystal of Zr2SiCl relaxed with PBEsol.

Properties
M_tot (μB/atom): 0.000
Crystal system: orthorhombic

Unit cell a=5.4129 b=5.4129 c=5.4129 alpha=146.97 beta=116.31 gamma=73.64
Fractional coordinates of all 4 atoms:
Zr 0.2321 0.2321 0.0000
Zr 0.7679 0.7679 0.0000
Si 0.5000 0.0000 0.5000
Cl 0.0000 0.5000 0.5000

---

--- c ---
DFT (SCAN) results for a crystal of Zr2SiCl relaxed with PBEsol.

Properties
M_tot (μB/atom): 0.000
Crystal system: orthorhombic

Unit cell a=4.0437 b=5.6353 c=5.6353 alpha=34.87 beta=90.00 gamma=90.00
Fractional coordinates of all 4 atoms:
Zr 0.0000 0.0000 0.0000
Zr 0.5000 0.2706 0.2706
Si 0.0000 0.7242 0.7242
Cl 0.5000 0.4931 0.4931

---

--- d ---
DFT (SCAN) results for a crystal of Zr2SiCl relaxed with PBEsol.

Properties
M_tot (μB/atom): 0.000
Crystal system: trigonal

Unit cell a=8.8035 b=8.8035 c=8.8035 alpha=20.24 beta=20.24 gamma=20.24
Fractional coordinates of all 4 atoms:
Zr 0.2482 0.2482 0.2482
Zr 0.7518 0.7518 0.7518
Si 0.0000 0.0000 0.0000
Cl 0.5000 0.5000 0.5000

---

Least stable of them? b.

---

--- a ---
DFT (SCAN) results for a crystal of SrTa2Cl relaxed with PBEsol.

Properties
M_tot (μB/atom): 0.000
Crystal system: orthorhombic

Unit cell a=2.9643 b=2.9643 c=10.0331 alpha=90.00 beta=90.00 gamma=113.39
Fractional coordinates of all 4 atoms:
Sr 0.0000 0.0000 0.0000
Ta 0.5000 0.5000 0.2888
Ta 0.5000 0.5000 0.7112
Cl 0.0000 0.0000 0.5000

---

--- b ---
DFT (SCAN) results for a crystal of SrTa2Cl relaxed with PBEsol.

Properties
M_tot (μB/atom): 0.001
Crystal system: tetragonal

Unit cell a=7.5736 b=7.5736 c=7.5736 alpha=150.85 beta=150.85 gamma=41.69
Fractional coordinates of all 4 atoms:
Sr 0.0000 0.0000 0.0000
Ta 0.2500 0.7500 0.5000
Ta 0.7500 0.2500 0.5000
Cl 0.5000 0.5000 0.0000

---

--- c ---
DFT (SCAN) results for a crystal of SrTa2Cl relaxed with PBEsol.

Properties
M_tot (μB/atom): 0.000
Crystal system: monoclinic

Unit cell a=7.2957 b=7.2957 c=3.2116 alpha=102.58 beta=102.58 gamma=136.22
Fractional coordinates of all 4 atoms:
Sr 0.0000 0.0000 0.0000
Ta 0.0000 0.5000 0.5000
Ta 0.5000 0.0000 0.5000
Cl 0.5000 0.5000 0.0000

---

Least stable of them? a.

---

--- a ---
DFT (SCAN) results for a crystal of SrTa2Cl relaxed with PBEsol.

Properties
M_tot (μB/atom): 0.000
Crystal system: tetragonal

Unit cell a=2.9736 b=2.9736 c=8.9887 alpha=90.00 beta=90.00 gamma=90.00
Fractional coordinates of all 4 atoms:
Sr 0.0000 0.0000 0.0000
Ta 0.5000 0.5000 0.3125
Ta 0.5000 0.5000 0.6875
Cl 0.0000 0.0000 0.5000

---

--- b ---
DFT (SCAN) results for a crystal of SrTa2Cl relaxed with PBEsol.

Properties
M_tot (μB/atom): 0.000
Crystal system: trigonal

Unit cell a=10.1653 b=10.1653 c=10.1653 alpha=17.18 beta=17.18 gamma=17.18
Fractional coordinates of all 4 atoms:
Sr 0.0000 0.0000 0.0000
Ta 0.2364 0.2364 0.2364
Ta 0.7636 0.7636 0.7636
Cl 0.5000 0.5000 0.5000

---

Least stable of them? a.